No. 1
Compound: LiSmBi2Se4
Source: Alexandria
Functional: GGA-PBE
Structure: optimized geometry

mass density = 6.305 Mg/m³
N(E_F) = 0.1 states/eV/f.u.
raw formation energy = -0.822 eV/atom
E = -34.91 eV for the cell shown

Lattice parameters (Å, degrees): 7.6317 4.0988 7.8525 90.00 107.18 90.00
Space group P2/m (No. 10)
Asymmetric unit:
1 Li 0.0000 0.0000 0.0000 [1 per cell]
2 Sm 0.5000 0.5000 0.5000 [1 per cell]
3 Bi 0.0000 0.5000 0.5000 [1 per cell]
4 Bi 0.5000 0.0000 0.0000 [1 per cell]
5 Se 0.2742 0.5000 0.1161 [2 per cell]
6 Se 0.2855 0.0000 0.6230 [2 per cell]

No. 2
Compound: LiSn2BiSe4
Source: Alexandria
Functional: GGA-PBE
Structure: optimized geometry

mass density = 6.091 Mg/m³
N(E_F) = 0.4 states/eV/f.u.
raw formation energy = -0.557 eV/atom
E = -32.20 eV for the cell shown

Lattice parameters (Å, degrees): 7.2257 4.2327 7.2421 90.00 108.80 90.00
Space group P2/m (No. 10)
Asymmetric unit:
1 Li 0.0000 0.0000 0.0000 [1 per cell]
2 Sn 0.0000 0.5000 0.5000 [1 per cell]
3 Sn 0.5000 0.0000 0.5000 [1 per cell]
4 Bi 0.5000 0.5000 0.0000 [1 per cell]
5 Se 0.2404 0.5000 0.2407 [2 per cell]
6 Se 0.2408 0.0000 0.7606 [2 per cell]

No. 3
Compound: Li2SnBi3Se6
Source: Alexandria
Functional: GGA-PBE
Structure: optimized geometry

mass density = 6.482 Mg/m³
N(E_F) = 3.9 states/eV/f.u.
raw formation energy = -0.556 eV/atom
E = -94.11 eV for the cell shown

Lattice parameters (Å, degrees): 18.0928 4.3480 8.2029 90.00 101.71 90.00
Space group C2/m (No. 12)
Asymmetric unit:
1 Li 0.1701 0.0000 0.3269 [4 per cell]
2 Sn 0.0000 0.5000 0.0000 [2 per cell]
3 Bi 0.0000 0.5000 0.5000 [2 per cell]
4 Bi 0.1683 0.0000 0.8266 [4 per cell]
5 Se 0.0038 0.0000 0.2524 [4 per cell]
6 Se 0.1676 0.5000 0.0909 [4 per cell]
7 Se 0.1689 0.5000 0.5833 [4 per cell]

No. 4
Compound: LiSn3Bi3Se8
Source: Alexandria
Functional: GGA-PBE
Structure: optimized geometry

mass density = 6.419 Mg/m³
N(E_F) = 0.4 states/eV/f.u.
raw formation energy = -0.438 eV/atom
E = -180.02 eV for the cell shown

Lattice parameters (Å, degrees): 8.3946 8.3946 20.6211 90.00 90.00 120.00
Space group R-3m (No. 166, hexagonal axes)
Asymmetric unit:
1 Li 0.0000 0.0000 0.0000 [3 per cell]
2 Sn 0.0000 0.5000 0.5000 [9 per cell]
3 Bi 0.0000 0.5000 0.0000 [9 per cell]
4 Se 0.0000 0.0000 0.2500 [6 per cell]
5 Se 0.0126 0.5063 0.7467 [18 per cell]

No. 5
Compound: Sr2LiBiSe
Source: Alexandria
Functional: GGA-PBE
Structure: optimized geometry

mass density = 4.646 Mg/m³
N(E_F) = 0.3 states/eV/f.u.
raw formation energy = -1.126 eV/atom
E = -18.28 eV for the cell shown

Lattice parameters (Å, degrees): 5.9110 5.9110 4.8094 90.00 90.00 90.00
Space group P4/mmm (No. 123)
Asymmetric unit:
1 Sr 0.0000 0.5000 0.0000 [2 per cell]
2 Li 0.0000 0.0000 0.5000 [1 per cell]
3 Bi 0.5000 0.5000 0.5000 [1 per cell]
4 Se 0.0000 0.0000 0.0000 [1 per cell]

No. 6
Compound: Li4Tb3BiSe8
Source: Alexandria
Functional: GGA-PBE
Structure: optimized geometry

mass density = 5.859 Mg/m³
N(E_F) = 0.0 states/eV/f.u.
raw formation energy = -1.450 eV/atom
E = -229.51 eV for the cell shown

Lattice parameters (Å, degrees): 8.2141 8.2141 19.5737 90.00 90.00 120.00
Space group R-3m (No. 166, hexagonal axes)
Asymmetric unit:
1 Li 0.0000 0.0000 0.0000 [3 per cell]
2 Li 0.0000 0.5000 0.0000 [9 per cell]
3 Tb 0.0000 0.5000 0.5000 [9 per cell]
4 Bi 0.0000 0.0000 0.5000 [3 per cell]
5 Se 0.0000 0.0000 0.2507 [6 per cell]
6 Se 0.0047 0.5023 0.7475 [18 per cell]